# SiP2Pt PBE-GGA optimized geometry
data_SiP2Pt
_chemical_formula_sum 'Si2 P4 Pt2'
_symmetry_space_group_name_H-M 'C 1 2/m 1'
_symmetry_Int_Tables_number 12
_cell_length_a 4.960
_cell_length_b 9.372
_cell_length_c 3.562
_cell_angle_alpha 90.00
_cell_angle_beta 133.58
_cell_angle_gamma 90.00
loop_
_symmetry_equiv_pos_as_xyz
'x,y,z'
'-x,-y,-z'
'-x,y,-z'
'x,-y,z'
'x+1/2,y+1/2,z'
'-x+1/2,-y+1/2,-z'
'-x+1/2,y+1/2,-z'
'x+1/2,-y+1/2,z'
loop_
_atom_site_label
_atom_site_fract_x
_atom_site_fract_y
_atom_site_fract_z
Si1 0.000 0.000 0.000
P1 0.250 0.250 0.500
Pt1 0.000 0.500 0.000
# E = -5.537 eV per atom
# Crystal system = monoclinic

# Si2PPt PBE-GGA optimized geometry
data_Si2PPt
_chemical_formula_sum 'Si2 P1 Pt1'
_symmetry_space_group_name_H-M 'P m m m'
_symmetry_Int_Tables_number 47
_cell_length_a 2.684
_cell_length_b 3.296
_cell_length_c 6.776
_cell_angle_alpha 90.00
_cell_angle_beta 90.00
_cell_angle_gamma 90.00
loop_
_symmetry_equiv_pos_as_xyz
'x,y,z'
'-x,-y,-z'
'-x,-y,z'
'x,y,-z'
'x,-y,-z'
'-x,y,z'
'-x,y,-z'
'x,-y,z'
loop_
_atom_site_label
_atom_site_fract_x
_atom_site_fract_y
_atom_site_fract_z
Si1 0.000 0.000 0.239
P1 0.000 0.500 0.500
Pt1 0.500 0.500 0.000
# E = -5.634 eV per atom
# Crystal system = orthorhombic

# Si2PPt PBE-GGA optimized geometry
data_Si2PPt
_chemical_formula_sum 'Si4 P2 Pt2'
_symmetry_space_group_name_H-M 'A m m 2'
_symmetry_Int_Tables_number 38
_cell_length_a 3.542
_cell_length_b 4.924
_cell_length_c 7.427
_cell_angle_alpha 90.00
_cell_angle_beta 90.00
_cell_angle_gamma 90.00
loop_
_symmetry_equiv_pos_as_xyz
'x,y,z'
'-x,-y,z'
'-x,y,z'
'x,-y,z'
'x,y+1/2,z+1/2'
'-x,-y+1/2,z+1/2'
'-x,y+1/2,z+1/2'
'x,-y+1/2,z+1/2'
loop_
_atom_site_label
_atom_site_fract_x
_atom_site_fract_y
_atom_site_fract_z
Si1 0.000 0.000 0.000
Si2 0.500 0.000 0.316
P1 0.000 0.000 0.536
Pt1 0.500 0.000 0.777
# E = -5.710 eV per atom
# Crystal system = orthorhombic

# SiP2Pt PBE-GGA optimized geometry
data_SiP2Pt
_chemical_formula_sum 'Si1 P2 Pt1'
_symmetry_space_group_name_H-M 'P 1 2/m 1'
_symmetry_Int_Tables_number 10
_cell_length_a 4.318
_cell_length_b 3.525
_cell_length_c 4.370
_cell_angle_alpha 90.00
_cell_angle_beta 107.02
_cell_angle_gamma 90.00
loop_
_symmetry_equiv_pos_as_xyz
'x,y,z'
'-x,-y,-z'
'-x,y,-z'
'x,-y,z'
loop_
_atom_site_label
_atom_site_fract_x
_atom_site_fract_y
_atom_site_fract_z
Si1 0.000 0.000 0.000
P1 0.223 0.500 0.700
Pt1 0.500 0.000 0.500
# E = -5.777 eV per atom
# Crystal system = monoclinic

# SiP2Pt6 PBE-GGA optimized geometry
data_SiP2Pt6
_chemical_formula_sum 'Si4 P8 Pt24'
_symmetry_space_group_name_H-M 'C 1 2/c 1'
_symmetry_Int_Tables_number 15
_cell_length_a 11.261
_cell_length_b 9.348
_cell_length_c 5.864
_cell_angle_alpha 90.00
_cell_angle_beta 103.29
_cell_angle_gamma 90.00
loop_
_symmetry_equiv_pos_as_xyz
'x,y,z'
'-x,-y,-z'
'-x,y,-z+1/2'
'x,-y,z+1/2'
'x+1/2,y+1/2,z'
'-x+1/2,-y+1/2,-z'
'-x+1/2,y+1/2,-z+1/2'
'x+1/2,-y+1/2,z+1/2'
loop_
_atom_site_label
_atom_site_fract_x
_atom_site_fract_y
_atom_site_fract_z
Si1 0.000 0.142 0.250
P1 0.182 0.417 0.298
Pt1 0.086 0.388 0.609
Pt2 0.109 0.072 0.636
Pt3 0.132 0.233 0.034
# E = -6.247 eV per atom
# Crystal system = monoclinic

# SiPPt2 PBE-GGA optimized geometry
data_SiPPt2
_chemical_formula_sum 'Si1 P1 Pt2'
_symmetry_space_group_name_H-M 'P m m m'
_symmetry_Int_Tables_number 47
_cell_length_a 2.769
_cell_length_b 4.267
_cell_length_c 5.178
_cell_angle_alpha 90.00
_cell_angle_beta 90.00
_cell_angle_gamma 90.00
loop_
_symmetry_equiv_pos_as_xyz
'x,y,z'
'-x,-y,-z'
'-x,-y,z'
'x,y,-z'
'x,-y,-z'
'-x,y,z'
'-x,y,-z'
'x,-y,z'
loop_
_atom_site_label
_atom_site_fract_x
_atom_site_fract_y
_atom_site_fract_z
Si1 0.000 0.000 0.000
P1 0.500 0.000 0.500
Pt1 0.000 0.500 0.500
Pt2 0.500 0.500 0.000
# E = -5.689 eV per atom
# Crystal system = orthorhombic

# Si2PPt PBE-GGA optimized geometry
data_Si2PPt
_chemical_formula_sum 'Si4 P2 Pt2'
_symmetry_space_group_name_H-M 'C 1 2/m 1'
_symmetry_Int_Tables_number 12
_cell_length_a 5.834
_cell_length_b 3.377
_cell_length_c 6.531
_cell_angle_alpha 90.00
_cell_angle_beta 107.52
_cell_angle_gamma 90.00
loop_
_symmetry_equiv_pos_as_xyz
'x,y,z'
'-x,-y,-z'
'-x,y,-z'
'x,-y,z'
'x+1/2,y+1/2,z'
'-x+1/2,-y+1/2,-z'
'-x+1/2,y+1/2,-z'
'x+1/2,-y+1/2,z'
loop_
_atom_site_label
_atom_site_fract_x
_atom_site_fract_y
_atom_site_fract_z
Si1 0.247 0.000 0.242
P1 0.000 0.500 0.000
Pt1 0.000 0.000 0.500
# E = -5.767 eV per atom
# Crystal system = monoclinic

# SiP2Pt PBE-GGA optimized geometry
data_SiP2Pt
_chemical_formula_sum 'Si2 P4 Pt2'
_symmetry_space_group_name_H-M 'C 1 2/m 1'
_symmetry_Int_Tables_number 12
_cell_length_a 6.056
_cell_length_b 3.529
_cell_length_c 6.112
_cell_angle_alpha 90.00
_cell_angle_beta 109.64
_cell_angle_gamma 90.00
loop_
_symmetry_equiv_pos_as_xyz
'x,y,z'
'-x,-y,-z'
'-x,y,-z'
'x,-y,z'
'x+1/2,y+1/2,z'
'-x+1/2,-y+1/2,-z'
'-x+1/2,y+1/2,-z'
'x+1/2,-y+1/2,z'
loop_
_atom_site_label
_atom_site_fract_x
_atom_site_fract_y
_atom_site_fract_z
Si1 0.000 0.000 0.000
P1 0.249 0.500 0.248
Pt1 0.000 0.500 0.500
# E = -5.672 eV per atom
# Crystal system = monoclinic

# SiPPt PBE-GGA optimized geometry
data_SiPPt
_chemical_formula_sum 'Si4 P4 Pt4'
_symmetry_space_group_name_H-M 'F m m 2'
_symmetry_Int_Tables_number 42
_symmetry_space_group_name_Hall 'F 2 -2'
_cell_length_a 3.354
_cell_length_b 4.830
_cell_length_c 11.138
_cell_angle_alpha 90.00
_cell_angle_beta 90.00
_cell_angle_gamma 90.00
loop_
_atom_site_label
_atom_site_fract_x
_atom_site_fract_y
_atom_site_fract_z
Si1 0.000 0.000 0.000
P1 0.000 0.000 0.654
Pt1 0.000 0.000 0.342
# E = -5.478 eV per atom
# Crystal system = orthorhombic

# SiP2Pt2 PBE-GGA optimized geometry
data_SiP2Pt2
_chemical_formula_sum 'Si2 P4 Pt4'
_symmetry_space_group_name_H-M 'P 4/n m m'
_symmetry_Int_Tables_number 129
_cell_length_a 3.712
_cell_length_b 3.712
_cell_length_c 13.348
_cell_angle_alpha 90.00
_cell_angle_beta 90.00
_cell_angle_gamma 90.00
loop_
_symmetry_equiv_pos_as_xyz
'x,y,z'
'-x,-y,-z'
'-y+1/2,x,z'
'y+1/2,-x,-z'
'-x+1/2,-y+1/2,z'
'x+1/2,y+1/2,-z'
'y,-x+1/2,z'
'-y,x+1/2,-z'
'x+1/2,-y,-z'
'-x+1/2,y,z'
'-y,-x,-z'
'y,x,z'
'-x,y+1/2,-z'
'x,-y+1/2,z'
'y+1/2,x+1/2,-z'
'-y+1/2,-x+1/2,z'
loop_
_atom_site_label
_atom_site_fract_x
_atom_site_fract_y
_atom_site_fract_z
Si1 0.250 0.250 0.249
P1 0.250 0.250 0.088
P2 0.250 0.250 0.618
Pt1 0.250 0.250 0.791
Pt2 0.250 0.750 0.500
# E = -5.471 eV per atom
# Crystal system = tetragonal

Q: E of number 5 (SiP2Pt6)?
A: -6.247 eV per atom

Q: What is the formula in the fourth record?
A: SiP2Pt

Q: Number 10 is which compound?
A: SiP2Pt2